Here is a relaxed NpRu2W crystal from Alexandria. Energies are from PBE-GGA.

## Properties
Energy above the lowest structure with this stoichiometry   0.00 eV per formula unit
DFT formation energy   0.086 eV per atom
Crystal system   tetragonal

Unit cell a=3.005 b=3.005 c=7.459 alpha=90.00 beta=90.00 gamma=90.00
Each line ends with the local moment (μB).
Element x y z (fractional)
Np: 0.500 0.500 0.500  3.16
Ru: 0.000 0.000 0.783  -0.26
Ru: 0.000 0.000 0.217  -0.26
W: 0.500 0.500 0.000  -0.12